(1)
V3NiRh3 | GGA-PBE | optimized geometry

It has space group C2/m (No. 12), with a = 5.6387 Å, b = 8.4354 Å, c = 8.1819 Å, α = 90.00°, β = 90.39° and γ = 90.00°. The inequivalent atoms are V at (0.2010, 0.0000, 0.4938), V at (0.2305, 0.2327, 0.2351), Ni at (0.0150, 0.5000, 0.2756), Rh at (0.0000, 0.2765, 0.5000), Rh at (0.0000, 0.3408, 0.0000) and Rh at (0.0485, 0.0000, 0.8436).

The energy relative to the elements comes out at -0.13 eV/atom.

(2)
ZnTc2Br | GGA-PBE | optimized geometry

It has space group R3m (No. 160, hexagonal axes), with a = 2.9469 Å, b = 2.9469 Å, c = 26.6931 Å, α = 90.00°, β = 90.00° and γ = 120.00°. The inequivalent atoms are Zn at (0.0000, 0.0000, 0.0000), Tc at (0.0000, 0.0000, 0.4876), Tc at (0.0000, 0.0000, 0.7457) and Br at (0.0000, 0.0000, 0.2335).

The value obtained for the energy above the most stable polymorph in this dataset is 168 meV/atom. For the formation energy without anion corrections, the calculation gives 318 meV per atom.

(3)
FeCoAg2 | GGA-PBE | optimized geometry

It has space group I-42d (No. 122), with a = 7.1018 Å, b = 7.1018 Å, c = 5.2085 Å, α = 90.00°, β = 90.00° and γ = 90.00°. The inequivalent atoms are Fe at (0.0000, 0.0000, 0.0000), Co at (0.0000, 0.0000, 0.5000) and Ag at (0.2436, 0.2500, 0.6250).

The energy relative to the elements comes out at 0.80 eV/atom.

(4)
CaLa2Re | GGA-PBE | optimized geometry

It has space group Immm (No. 71), with a = 3.9384 Å, b = 5.9279 Å, c = 10.5004 Å, α = 90.00°, β = 90.00° and γ = 90.00°. The inequivalent atoms are Ca at (0.0000, 0.0000, 0.0000), La at (0.0000, 0.5000, 0.1862) and Re at (0.0000, 0.0000, 0.5000).

The value obtained for the energy above the most stable polymorph in this dataset is 108 meV/atom. The energy relative to the elements comes out at 0.30 eV/atom.

(5)
Cd2Ag8Pd | GGA-PBE | optimized geometry

It has space group C2/m (No. 12), with a = 12.5569 Å, b = 7.4581 Å, c = 4.9214 Å, α = 90.00°, β = 102.64° and γ = 90.00°. The inequivalent atoms are Cd at (0.1230, 0.0000, 0.0255), Ag at (0.0685, 0.3127, 0.2977), Ag at (0.1411, 0.5000, 0.8443), Ag at (0.2299, 0.0000, 0.5841) and Pd at (0.0000, 0.0000, 0.5000).

The value obtained for the energy above the most stable polymorph in this dataset is 142 meV/atom. The energy relative to the elements comes out at 0.08 eV/atom.

(6)
Ni2AgHg | GGA-PBE | optimized geometry

It has space group I-4m2 (No. 119), with a = 3.8855 Å, b = 3.8855 Å, c = 7.9744 Å, α = 90.00°, β = 90.00° and γ = 90.00°. The inequivalent atoms are Ni at (0.0000, 0.0000, 0.0000), Ni at (0.0000, 0.5000, 0.2500), Ag at (0.0000, 0.5000, 0.7500) and Hg at (0.0000, 0.0000, 0.5000).

The energy relative to the elements comes out at 0.26 eV/atom.

(7)
ScAlRu2 | GGA-PBE | optimized geometry

It has space group P4mm (No. 99), with a = 2.8622 Å, b = 2.8622 Å, c = 7.8207 Å, α = 90.00°, β = 90.00° and γ = 90.00°. The inequivalent atoms are Sc at (0.0000, 0.0000, 0.0000), Al at (0.5000, 0.5000, 0.3017), Ru at (0.0000, 0.0000, 0.5223) and Ru at (0.5000, 0.5000, 0.7333).

The energy relative to the elements comes out at -0.31 eV/atom.

(8)
Ba2PrPd | GGA-PBE | optimized geometry

It has space group R-3m (No. 166, hexagonal axes), with a = 4.1448 Å, b = 4.1448 Å, c = 34.9855 Å, α = 90.00°, β = 90.00° and γ = 120.00°. The inequivalent atoms are Ba at (0.0000, 0.0000, 0.1099), Pr at (0.0000, 0.0000, 0.0000) and Pd at (0.0000, 0.0000, 0.5000).

The energy relative to the elements comes out at 0.04 eV/atom.

(9)
DyU2OsC4 | GGA-PBE | optimized geometry

It has space group Cmcm (No. 63), with a = 3.5051 Å, b = 11.5412 Å, c = 11.7265 Å, α = 90.00°, β = 90.00° and γ = 90.00°. The inequivalent atoms are Dy at (0.0000, 0.1101, 0.2500), U at (0.0000, 0.3699, 0.0464), Os at (0.0000, 0.1513, 0.7500), C at (0.0000, 0.0000, 0.0000), C at (0.0000, 0.2612, 0.6183) and C at (0.0000, 0.4468, 0.2500).

The energy relative to the elements comes out at -0.04 eV/atom.

(10)
SrGa6Ag12 | GGA-PBE | optimized geometry

It has space group R-3m (No. 166, hexagonal axes), with a = 11.9308 Å, b = 11.9308 Å, c = 9.1941 Å, α = 90.00°, β = 90.00° and γ = 120.00°. The inequivalent atoms are Sr at (0.0000, 0.0000, 0.0000), Ga at (0.0454, 0.5227, 0.2534), Ag at (0.0000, 0.3831, 0.5000) and Ag at (0.0837, 0.1674, 0.3163).

The energy relative to the elements comes out at -0.01 eV/atom.

(11)
CaAc6Pr8 | GGA-PBE | optimized geometry

It has space group P-3 (No. 147), with a = 10.0543 Å, b = 10.0543 Å, c = 6.9613 Å, α = 90.00°, β = 90.00° and γ = 120.00°. The inequivalent atoms are Ca at (0.0000, 0.0000, 0.0000), Ac at (0.0918, 0.6520, 0.8255), Pr at (0.0437, 0.7655, 0.3332) and Pr at (0.3333, 0.6667, 0.3727).

The energy relative to the elements comes out at 0.15 eV/atom.

(12)
Xe | GGA-PBE | optimized geometry

It has space group P6_3/mmc (No. 194), with a = 4.8059 Å, b = 4.8059 Å, c = 7.7031 Å, α = 90.00°, β = 90.00° and γ = 120.00°. The inequivalent atoms are Xe at (0.3333, 0.6667, 0.2500).

The value obtained for the energy above the most stable polymorph in this dataset is 4 meV/atom. The energy relative to the elements comes out at 0.00 eV/atom.

no.,energy (Ha/atom)
1,-0.294
2,-0.206
3,-0.166
4,-0.212
5,-0.097
6,-0.125
7,-0.274
8,-0.126
9,-0.348
10,-0.105
11,-0.153
12,-0.001